{
  "formula": "GeOs2F",
  "functional": "GGA-PBE",
  "state": "optimized geometry",
  "cell": [[0.0000, 2.9845, 2.9845], [2.9845, 0.0000, 2.9845], [2.9845, 2.9845, 0.0000]],
  "species": ["Os", "Os", "F", "Ge"],
  "frac_coords": [[0.7500, 0.7500, 0.7500], [0.2500, 0.2500, 0.2500], [0.0000, 0.0000, 0.0000], [0.5000, 0.5000, 0.5000]],
  "dft_energy_ev_per_atom": -6.775,
  "de_polymorph_mev_per_atom": 0.0,
  "total_magnetization_mub_per_fu": 0.0
}

=====

{
  "formula": "AcThSe2",
  "functional": "GGA-PBE",
  "state": "optimized geometry",
  "cell": [[4.2622, 0.0000, 0.0000], [2.1311, 3.6912, 0.0000], [2.1311, 1.2304, 7.2870]],
  "species": ["Th", "Se", "Se", "Ac"],
  "frac_coords": [[0.5000, 0.5000, 0.5000], [0.2452, 0.2452, 0.2645], [0.7548, 0.7548, 0.7355], [0.0000, 0.0000, 0.0000]],
  "dft_energy_ev_per_atom": -6.302,
  "de_polymorph_mev_per_atom": 0.0,
  "total_magnetization_mub_per_fu": 0.0
}

=====

{
  "formula": "RbTlPb",
  "functional": "GGA-PBE",
  "state": "optimized geometry",
  "cell": [[-0.5430, 3.0262, -4.0373], [2.1341, -3.5417, -2.9418], [-8.3890, -3.6929, -1.6398]],
  "species": ["Pb", "Pb", "Rb", "Rb", "Tl", "Tl"],
  "frac_coords": [[0.5000, 0.5000, 0.5000], [0.0000, 0.0000, 0.5000], [0.0000, 0.5000, 0.8363], [0.5000, 0.0000, 0.1637], [0.5000, 0.0000, 0.7277], [0.0000, 0.5000, 0.2723]],
  "dft_energy_ev_per_atom": -2.505,
  "formation_enthalpy_0k_kcal_per_mol_atoms": -3.6,
  "total_magnetization_mub_per_fu": 0.0
}

=====

{
  "formula": "YAuNF2",
  "functional": "GGA-PBE",
  "state": "optimized geometry",
  "cell": [[4.4058, 0.0000, 0.0000], [0.0000, 4.4058, 0.0000], [0.0000, 0.0000, 4.1061]],
  "species": ["F", "F", "Y", "Au", "N"],
  "frac_coords": [[0.0000, 0.5000, 0.0000], [0.5000, 0.0000, 0.0000], [0.5000, 0.5000, 0.5000], [0.0000, 0.0000, 0.0000], [0.0000, 0.0000, 0.5000]],
  "dft_energy_ev_per_atom": -4.953,
  "de_polymorph_mev_per_atom": 778.7,
  "total_magnetization_mub_per_fu": 0.1
}

=====

{
  "formula": "AcNiP3",
  "functional": "GGA-PBE",
  "state": "optimized geometry",
  "cell": [[4.5919, 0.0000, 0.0000], [0.0000, 4.5919, 0.0000], [0.0000, 0.0000, 4.5919]],
  "species": ["P", "P", "P", "Ni", "Ac"],
  "frac_coords": [[0.0000, 0.5000, 0.0000], [0.0000, 0.0000, 0.5000], [0.5000, 0.0000, 0.0000], [0.0000, 0.0000, 0.0000], [0.5000, 0.5000, 0.5000]],
  "dft_energy_ev_per_atom": -5.620,
  "formation_enthalpy_0k_kcal_per_mol_atoms": -9.1,
  "total_magnetization_mub_per_fu": 0.0
}

=====

{
  "formula": "MnNiP2S",
  "functional": "GGA-PBE",
  "state": "optimized geometry",
  "cell": [[4.1612, 0.0000, 0.0000], [0.0000, 4.1612, 0.0000], [0.0000, 0.0000, 4.8807]],
  "species": ["P", "P", "Ni", "S", "Mn"],
  "frac_coords": [[0.0000, 0.5000, 0.0000], [0.5000, 0.0000, 0.0000], [0.5000, 0.5000, 0.5000], [0.0000, 0.0000, 0.5000], [0.0000, 0.0000, 0.0000]],
  "dft_energy_ev_per_atom": -5.279,
  "de_polymorph_mev_per_atom": 0.0,
  "total_magnetization_mub_per_fu": 0.0
}

=====

{
  "formula": "AgRhSe2",
  "functional": "GGA-PBE",
  "state": "optimized geometry",
  "cell": [[-4.6339, 14.4733, 7.4624], [-3.1741, 4.9887, -4.1836], [-5.3027, -4.2778, -2.4589]],
  "species": ["Se", "Se", "Se", "Se", "Se", "Se", "Se", "Se", "Se", "Se", "Se", "Se", "Se", "Se", "Se", "Se", "Rh", "Rh", "Rh", "Rh", "Rh", "Rh", "Rh", "Rh", "Ag", "Ag", "Ag", "Ag", "Ag", "Ag", "Ag", "Ag"],
  "frac_coords": [[0.2224, 0.4538, 0.2758], [0.4487, 0.4009, 0.7983], [0.4642, 0.9143, 0.6659], [0.7500, 0.0855, 0.5855], [0.2500, 0.3766, 0.8766], [0.2776, 0.7758, 0.9538], [0.9487, 0.7017, 0.0991], [0.2500, 0.9145, 0.4145], [0.7500, 0.6234, 0.1234], [0.9642, 0.8341, 0.5857], [0.5358, 0.0857, 0.3341], [0.7776, 0.5462, 0.7242], [0.0513, 0.2983, 0.9009], [0.5513, 0.5991, 0.2017], [0.7224, 0.2242, 0.0462], [0.0358, 0.1659, 0.4143], [0.6668, 0.7495, 0.3137], [0.1213, 0.3075, 0.2934], [0.1668, 0.1863, 0.7505], [0.8787, 0.6925, 0.7066], [0.6213, 0.2066, 0.1925], [0.8332, 0.8137, 0.2495], [0.3787, 0.7934, 0.8075], [0.3332, 0.2505, 0.6863], [0.1336, 0.7415, 0.4371], [0.3664, 0.9371, 0.2415], [0.9138, 0.1116, 0.0300], [0.0862, 0.8884, 0.9700], [0.4138, 0.4700, 0.3884], [0.5862, 0.5300, 0.6116], [0.6336, 0.0629, 0.7585], [0.8664, 0.2585, 0.5629]],
  "dft_energy_ev_per_atom": -4.403,
  "total_magnetization_mub_per_fu": 0.0
}

=====

{
  "formula": "K3Tl8Ga3",
  "functional": "GGA-PBE",
  "state": "optimized geometry",
  "cell": [[5.2862, 0.0000, 1.3966], [2.1884, 8.8492, 2.4192], [0.3386, 0.2881, 9.4209]],
  "species": ["Tl", "Tl", "Tl", "Tl", "Tl", "Tl", "Tl", "Tl", "K", "K", "K", "Ga", "Ga", "Ga"],
  "frac_coords": [[0.3654, 0.9350, 0.3341], [0.1315, 0.2171, 0.5199], [0.6346, 0.0650, 0.6659], [0.8685, 0.7829, 0.4801], [0.1315, 0.5199, 0.2171], [0.3654, 0.3341, 0.9350], [0.6346, 0.6659, 0.0650], [0.8685, 0.4801, 0.7829], [0.7753, 0.2247, 0.2247], [0.5000, 0.5000, 0.5000], [0.2247, 0.7753, 0.7753], [0.0000, 0.1266, 0.8734], [0.5000, 0.0000, 0.0000], [0.0000, 0.8734, 0.1266]],
  "dft_energy_ev_per_atom": -2.281,
  "formation_enthalpy_0k_kcal_per_mol_atoms": -1.0,
  "total_magnetization_mub_per_fu": 0.0
}

=====

{
  "formula": "Ti6GaCu",
  "functional": "GGA-PBE",
  "state": "optimized geometry",
  "cell": [[-0.6744, 1.2278, -3.7500], [3.5277, -1.5167, -1.1310], [-3.5219, -6.9636, -1.6465]],
  "species": ["Ti", "Ti", "Ti", "Ti", "Ti", "Ti", "Ga", "Cu"],
  "frac_coords": [[0.5000, 0.0000, 0.7478], [0.5000, 0.5000, 0.5000], [0.0000, 0.5000, 0.7478], [0.5000, 0.0000, 0.2522], [0.5000, 0.5000, 0.0000], [0.0000, 0.5000, 0.2522], [0.0000, 0.0000, 0.0000], [0.0000, 0.0000, 0.5000]],
  "dft_energy_ev_per_atom": -6.973,
  "de_polymorph_mev_per_atom": 0.0,
  "formation_enthalpy_0k_kcal_per_mol_atoms": -3.7,
  "total_magnetization_mub_per_fu": 0.0
}

=====

{
  "formula": "Th3Fe2Ge2",
  "functional": "GGA-PBE",
  "state": "optimized geometry",
  "cell": [[4.1545, 0.0000, -0.8976], [-0.2105, 4.0201, -0.9743], [-0.1524, 0.1262, 9.3574]],
  "species": ["Fe", "Fe", "Th", "Th", "Th", "Ge", "Ge"],
  "frac_coords": [[0.5632, 0.5632, 0.1263], [0.4368, 0.4368, 0.8737], [0.0000, 0.0000, 0.0000], [0.6797, 0.1797, 0.3594], [0.3203, 0.8203, 0.6406], [0.1364, 0.6364, 0.2729], [0.8636, 0.3636, 0.7271]],
  "dft_energy_ev_per_atom": -7.371,
  "formation_enthalpy_0k_kcal_per_mol_atoms": -10.5,
  "total_magnetization_mub_per_fu": 2.5
}

=====

{
  "formula": "KHgRu2Pb",
  "functional": "GGA-PBE",
  "state": "optimized geometry",
  "cell": [[-0.2316, -5.0743, -0.6245], [6.1785, -0.3951, 0.9196], [-0.7849, -0.5824, 5.0236]],
  "species": ["Ru", "Ru", "K", "Hg", "Pb"],
  "frac_coords": [[0.5000, 0.0000, 0.0000], [0.0000, 0.0000, 0.5000], [0.0000, 0.5000, 0.0000], [0.5000, 0.5000, 0.5000], [0.0000, 0.0000, 0.0000]],
  "dft_energy_ev_per_atom": -3.323,
  "formation_enthalpy_0k_kcal_per_mol_atoms": 32.5,
  "total_magnetization_mub_per_fu": 2.7
}

=====

{
  "formula": "NbHgSeS",
  "functional": "GGA-PBE",
  "state": "optimized geometry",
  "cell": [[-2.1870, 0.4959, 2.5663], [-0.3876, -2.6800, -2.0726], [6.6488, -3.8252, 6.3715]],
  "species": ["Nb", "S", "Se", "Hg"],
  "frac_coords": [[0.0372, 0.3378, 0.0709], [0.7545, 0.7705, 0.2259], [0.6462, 0.5585, 0.8944], [0.5242, 0.3229, 0.5369]],
  "dft_energy_ev_per_atom": -5.206,
  "total_magnetization_mub_per_fu": 0.0
}

=====

{
  "formula": "Ta3PH",
  "functional": "GGA-PBE",
  "state": "optimized geometry",
  "cell": [[-0.1201, -3.4025, -0.0830], [4.8545, 1.4886, 1.8954], [-7.2042, 1.8202, 5.6436]],
  "species": ["P", "P", "H", "H", "Ta", "Ta", "Ta", "Ta", "Ta", "Ta"],
  "frac_coords": [[0.4970, 0.7479, 0.7457], [0.5030, 0.2521, 0.2543], [0.2091, 0.1803, 0.7391], [0.7909, 0.8197, 0.2609], [0.2938, 0.1476, 0.9397], [0.7062, 0.8524, 0.0603], [0.9090, 0.7680, 0.5494], [0.0910, 0.2320, 0.4506], [0.1632, 0.5974, 0.2283], [0.8368, 0.4026, 0.7717]],
  "dft_energy_ev_per_atom": -9.274,
  "de_polymorph_mev_per_atom": 0.0,
  "total_magnetization_mub_per_fu": 0.0
}

=====

{
  "formula": "LiDyIrPt",
  "functional": "GGA-PBE",
  "state": "optimized geometry",
  "cell": [[-0.4669, 4.2532, -1.7165], [-3.0129, 0.7968, -3.3973], [-3.8352, 2.4166, 0.8399]],
  "species": ["Pt", "Dy", "Li", "Ir"],
  "frac_coords": [[0.2500, 0.2500, 0.2500], [0.0000, 0.0000, 0.0000], [0.5000, 0.5000, 0.5000], [0.7500, 0.7500, 0.7500]],
  "dft_energy_ev_per_atom": -5.953,
  "formation_enthalpy_0k_kcal_per_mol_atoms": -13.8,
  "total_magnetization_mub_per_fu": 0.0
}

=====

{
  "formula": "TlGa2Ni",
  "functional": "GGA-PBE",
  "state": "optimized geometry",
  "cell": [[4.4146, 0.0000, 0.0000], [0.0000, 4.4146, 0.0000], [2.2073, 2.2073, 8.3436]],
  "species": ["Ni", "Ni", "Ga", "Ga", "Ga", "Ga", "Tl", "Tl"],
  "frac_coords": [[0.5000, 0.5000, 0.0000], [0.2500, 0.7500, 0.5000], [0.8750, 0.7749, 0.7500], [0.3750, 0.4751, 0.7500], [0.5249, 0.1250, 0.2500], [0.2251, 0.6250, 0.2500], [0.0000, 0.0000, 0.0000], [0.7500, 0.2500, 0.5000]],
  "dft_energy_ev_per_atom": -3.400,
  "formation_enthalpy_0k_kcal_per_mol_atoms": 3.5,
  "total_magnetization_mub_per_fu": 0.0
}

=====

{
  "formula": "Ce6HC3O2",
  "functional": "GGA-PBE",
  "state": "optimized geometry",
  "cell": [[-3.0770, -1.8895, -0.0014], [3.6884, -6.0053, -1.4753], [1.4818, 1.0314, 7.8081]],
  "species": ["Ce", "Ce", "Ce", "Ce", "Ce", "Ce", "O", "O", "H", "C", "C", "C"],
  "frac_coords": [[0.0007, 0.7413, 0.0015], [0.6685, 0.0839, 0.3369], [0.6680, 0.5816, 0.3359], [0.3320, 0.4184, 0.6641], [0.3315, 0.9161, 0.6631], [0.9993, 0.2587, 0.9985], [0.8338, 0.6676, 0.6675], [0.1662, 0.3324, 0.3325], [0.5000, 0.0000, 0.0000], [0.1691, 0.8326, 0.3382], [0.5000, 0.5000, 0.0000], [0.8309, 0.1674, 0.6618]],
  "dft_energy_ev_per_atom": -7.535,
  "total_magnetization_mub_per_fu": 0.9
}

=====

{
  "formula": "LiTmGaCo",
  "functional": "GGA-PBE",
  "state": "optimized geometry",
  "cell": [[-3.9887, 1.7985, -0.8664], [-3.5181, -2.6356, -0.7558], [-3.2723, -0.2720, 3.0188]],
  "species": ["Tm", "Li", "Ga", "Co"],
  "frac_coords": [[0.0000, 0.0000, 0.0000], [0.2500, 0.2500, 0.2500], [0.5000, 0.5000, 0.5000], [0.7500, 0.7500, 0.7500]],
  "dft_energy_ev_per_atom": -4.388,
  "formation_enthalpy_0k_kcal_per_mol_atoms": -6.0,
  "total_magnetization_mub_per_fu": 0.0
}

=====

{
  "formula": "CsVAsCl6",
  "functional": "GGA-PBE",
  "state": "optimized geometry",
  "cell": [[-4.7549, -4.3077, 1.4741], [-3.3539, -2.9774, -4.8191], [5.2468, -5.8123, -0.0606]],
  "species": ["Cl", "Cl", "Cl", "Cl", "Cl", "Cl", "V", "Cs", "As"],
  "frac_coords": [[0.3774, 0.6295, 0.3195], [0.9931, 0.6295, 0.6805], [0.3774, 0.9931, 0.6805], [0.6294, 0.9931, 0.3195], [0.9931, 0.3774, 0.3195], [0.6294, 0.3774, 0.6805], [0.6666, 0.6667, 0.5000], [0.0000, 0.0000, 0.0000], [0.3333, 0.3333, 0.5000]],
  "dft_energy_ev_per_atom": -3.996,
  "total_magnetization_mub_per_fu": 3.0
}

=====

{
  "formula": "CuSeCl2",
  "functional": "GGA-PBE",
  "state": "optimized geometry",
  "cell": [[3.4445, -0.0924, 0.0000], [-1.9624, 2.8324, 0.0000], [0.0000, 0.0000, 10.5851]],
  "species": ["Cl", "Cl", "Cu", "Se"],
  "frac_coords": [[0.0000, 0.0000, 0.0973], [0.0000, 0.0000, 0.4027], [0.5000, 0.5000, 0.2500], [0.5000, 0.5000, 0.7500]],
  "dft_energy_ev_per_atom": -2.790,
  "de_polymorph_mev_per_atom": 325.5,
  "total_magnetization_mub_per_fu": 1.4
}

=====

{
  "formula": "LiSi2Se",
  "functional": "GGA-PBE",
  "state": "optimized geometry",
  "cell": [[3.5533, 0.0000, 0.0000], [0.0000, 3.5533, 0.0000], [0.0000, 0.0000, 5.8139]],
  "species": ["Se", "Li", "Si", "Si"],
  "frac_coords": [[0.5000, 0.5000, 0.5981], [0.0000, 0.0000, 0.6128], [0.5000, 0.5000, 0.1976], [0.0000, 0.0000, 0.0915]],
  "dft_energy_ev_per_atom": -4.135,
  "total_magnetization_mub_per_fu": 0.0
}